RbCaAs2Br | PBE-GGA | optimized geometry

```
RbCaAs2Br
1.0
-0.8727 -5.6212 -0.0435
5.2940 -0.8071 -1.9192
1.9435 -0.3444 5.5059
As Ca Br Rb
2 1 1 1
direct
0.0000 0.5000 0.0000
0.5000 0.0000 0.0000
0.0000 0.0000 0.0000
0.0000 0.0000 0.5000
0.5000 0.5000 0.5000
```

Summary:
formation energy from raw total energies	-0.360	eV/atom
VASP energy	-15.7	eV per cell
space group	No. 123
total moment	2.03	μB per formula unit
energy above the lowest structure with this stoichiometry	0.0	meV/atom

=====

AcCu2Ni4 | PBE-GGA | optimized geometry

```
AcCu2Ni4
1.0
4.3667 0.0029 2.3381
2.0282 4.5167 1.4614
0.0552 -0.3201 5.1521
Ac Cu Ni
1 2 4
direct
0.0000 0.0000 0.0000
0.7502 0.4999 0.4999
0.2497 0.5001 0.5001
0.6925 0.6149 0.0001
0.3075 0.3851 0.9999
0.6925 0.0001 0.6148
0.3075 0.9999 0.3852
```

Summary:
VASP energy	-35.7	eV per cell
calculated formation energy	-38	meV/atom
space group	No. 71
total moment	0.00	μB per formula unit